A geometry-optimized WO structure, computed with PBE+U.

Spin magnetization in μB/cell: 0.43
Energy above the lowest structure with this stoichiometry in meV/atom: 248

Lattice parameters (Å, degrees): 8.3234 8.3234 2.9046 90.00 90.00 120.00
Space group P6_3/m (No. 176)
One atom of each set of equivalent atoms:
W: 0.1252 0.6405 0.2500 x6
O: 0.0625 0.3515 0.2500 x6